[1]
Ca2POs, single point on PBEsol structure, DFT SCAN; calculated density = 6.8 Mg/m³; formation enthalpy at 0 K = 0.035 eV/atom
1.0
4.2353 0.0000 0.0000
0.0000 4.2353 0.0000
0.0000 0.0000 8.1764
Ca P Os
4 2 2
direct
0.0000 0.5000 0.2500 Ca
0.0000 0.5000 0.7500 Ca
0.5000 0.0000 0.2500 Ca
0.5000 0.0000 0.7500 Ca
0.0000 0.0000 0.0000 P
0.5000 0.5000 0.5000 P
0.0000 0.0000 0.5000 Os
0.5000 0.5000 0.0000 Os

---

[2]
Ca2CoN2, single point on PBEsol structure, DFT SCAN; calculated density = 3.8 Mg/m³; raw formation energy = -0.763 eV per atom
1.0
5.3040 -2.4451 0.0000
5.3040 2.4451 0.0000
-3.6079 0.0000 5.6388
Ca Co N
4 2 4
direct
0.0461 0.0461 0.2762 Ca
0.3179 0.3179 0.9016 Ca
0.6821 0.6821 0.0984 Ca
0.9539 0.9539 0.7238 Ca
0.3754 0.3754 0.3738 Co
0.6246 0.6246 0.6262 Co
0.1866 0.1866 0.1073 N
0.4763 0.4763 0.6924 N
0.5237 0.5237 0.3076 N
0.8134 0.8134 0.8927 N

---

[3]
YCr2W, single point on PBEsol structure, DFT SCAN; calculated density = 10.0 Mg/m³; formation enthalpy at 0 K = 0.606 eV/atom
1.0
2.9689 0.0000 0.0000
0.0000 4.6244 0.0000
0.0000 0.0000 9.0862
Y Cr W
2 4 2
direct
0.0000 0.0000 0.0000 Y
0.5000 0.5000 0.5000 Y
0.0000 0.0000 0.5341 Cr
0.0000 0.5000 0.2276 Cr
0.5000 0.0000 0.7276 Cr
0.5000 0.5000 0.0341 Cr
0.0000 0.5000 0.7773 W
0.5000 0.0000 0.2773 W

---

[4]
CdIn2P, single point on PBEsol structure, DFT SCAN; calculated density = 7.2 Mg/m³; formation enthalpy at 0 K = 0.291 eV/atom
1.0
6.2523 0.0000 0.0000
0.0000 8.0516 0.0000
0.0000 0.0000 3.4336
Cd In P
2 4 2
direct
0.0000 0.0000 0.0000 Cd
0.5000 0.5000 0.0000 Cd
0.2500 0.2500 0.5000 In
0.2500 0.7500 0.5000 In
0.7500 0.2500 0.5000 In
0.7500 0.7500 0.5000 In
0.0000 0.5000 0.0000 P
0.5000 0.0000 0.0000 P

---

[5]
AsRu2W, single point on PBEsol structure, DFT SCAN; calculated density = 13.7 Mg/m³; formation enthalpy at 0 K = 0.068 eV/atom
1.0
2.9135 0.0000 0.0000
0.0000 4.4059 0.0000
0.0000 0.0000 8.7332
As Ru W
2 4 2
direct
0.0000 0.0000 0.0000 As
0.5000 0.5000 0.5000 As
0.0000 0.5000 0.2755 Ru
0.0000 0.5000 0.7245 Ru
0.5000 0.0000 0.2245 Ru
0.5000 0.0000 0.7755 Ru
0.0000 0.0000 0.5000 W
0.5000 0.5000 0.0000 W

---

[6]
KMoPt, single point on PBEsol structure, DFT SCAN; calculated density = 8.0 Mg/m³; formation enthalpy at 0 K = 0.384 eV/atom
1.0
2.7031 0.0000 0.0000
0.0000 4.1253 0.0000
0.0000 0.0000 12.2972
K Mo Pt
2 2 2
direct
0.0000 0.0000 0.0000 K
0.5000 0.5000 0.5000 K
0.0000 0.0000 0.7256 Mo
0.5000 0.5000 0.2256 Mo
0.0000 0.0000 0.2918 Pt
0.5000 0.5000 0.7918 Pt

---

[7]
Y2ZrS5, single point on PBEsol structure, DFT SCAN; calculated density = 4.6 Mg/m³; raw formation energy = -2.178 eV per atom
1.0
11.3982 0.0000 0.0000
0.0000 7.6648 0.0000
0.0000 0.0000 7.1585
Y Zr S
8 4 20
direct
0.1787 0.0026 0.0238 Y
0.1787 0.4974 0.0238 Y
0.3213 0.5026 0.5238 Y
0.3213 0.9974 0.5238 Y
0.6787 0.0026 0.4762 Y
0.6787 0.4974 0.4762 Y
0.8213 0.5026 0.9762 Y
0.8213 0.9974 0.9762 Y
0.0074 0.7500 0.5793 Zr
0.4926 0.2500 0.0793 Zr
0.5074 0.7500 0.9207 Zr
0.9926 0.2500 0.4207 Zr
0.0027 0.7500 0.9509 S
0.0939 0.0396 0.6626 S
0.0939 0.4604 0.6626 S
0.1821 0.7500 0.3308 S
0.2095 0.2500 0.3092 S
0.2905 0.7500 0.8092 S
0.3179 0.2500 0.8308 S
0.4061 0.5396 0.1626 S
0.4061 0.9604 0.1626 S
0.4973 0.2500 0.4509 S
0.5027 0.7500 0.5491 S
0.5939 0.0396 0.8374 S
0.5939 0.4604 0.8374 S
0.6821 0.7500 0.1692 S
0.7095 0.2500 0.1908 S
0.7905 0.7500 0.6908 S
0.8179 0.2500 0.6692 S
0.9061 0.5396 0.3374 S
0.9061 0.9604 0.3374 S
0.9973 0.2500 0.0491 S

---

[8]
SbS8Cl3, single point on PBEsol structure, DFT SCAN; calculated density = 2.5 Mg/m³; raw formation energy = -0.306 eV per atom
1.0
8.0675 0.0000 0.0000
-3.0807 8.0421 0.0000
-3.2042 -2.3214 9.8834
Sb S Cl
2 16 6
direct
0.1792 0.4199 0.1520 Sb
0.8208 0.5801 0.8480 Sb
0.0597 0.2800 0.4989 S
0.1242 0.1755 0.8677 S
0.1541 0.9905 0.1748 S
0.1655 0.7258 0.6583 S
0.2818 0.3091 0.4327 S
0.2869 0.0751 0.3800 S
0.2956 0.0449 0.9168 S
0.3500 0.9759 0.7491 S
0.6500 0.0241 0.2509 S
0.7044 0.9551 0.0832 S
0.7131 0.9249 0.6200 S
0.7182 0.6909 0.5673 S
0.8345 0.2742 0.3417 S
0.8459 0.0095 0.8252 S
0.8758 0.8245 0.1323 S
0.9403 0.7200 0.5011 S
0.2228 0.6044 0.9930 Cl
0.2415 0.6558 0.3251 Cl
0.4976 0.5480 0.7907 Cl
0.5024 0.4520 0.2093 Cl
0.7585 0.3442 0.6749 Cl
0.7772 0.3956 0.0070 Cl

---

[9]
Sr2LaTlO, single point on PBEsol structure, DFT SCAN; calculated density = 6.7 Mg/m³; raw formation energy = -1.537 eV per atom
1.0
5.0924 0.0000 0.0000
0.0000 5.0924 0.0000
0.0000 0.0000 5.0757
Sr La Tl O
2 1 1 1
direct
0.0000 0.5000 0.0000 Sr
0.5000 0.0000 0.0000 Sr
0.0000 0.0000 0.5000 La
0.5000 0.5000 0.5000 Tl
0.0000 0.0000 0.0000 O

---

[10]
Cd2Rh, single point on PBEsol structure, DFT SCAN; calculated density = 10.7 Mg/m³; formation enthalpy at 0 K = -0.100 eV/atom
1.0
-2.0150 2.0150 12.5452
2.0150 -2.0150 12.5452
2.0150 2.0150 -12.5452
Cd Rh
8 4
direct
0.1240 0.3740 0.7500 Cd
0.2875 0.5375 0.7500 Cd
0.3740 0.1240 0.2500 Cd
0.4625 0.7125 0.7500 Cd
0.5375 0.2875 0.2500 Cd
0.6260 0.8760 0.7500 Cd
0.7125 0.4625 0.2500 Cd
0.8760 0.6260 0.2500 Cd
0.0454 0.7954 0.2500 Rh
0.2046 0.9546 0.2500 Rh
0.7954 0.0454 0.7500 Rh
0.9546 0.2046 0.7500 Rh

---

[11]
Rb3EuF6, single point on PBEsol structure, DFT SCAN; calculated density = 3.9 Mg/m³; raw formation energy = -3.166 eV per atom
1.0
0.0000 4.8134 4.8134
4.8134 0.0000 4.8134
4.8134 4.8134 0.0000
Rb Eu F
3 1 6
direct
0.0000 0.0000 0.0000 Rb
0.2500 0.2500 0.2500 Rb
0.7500 0.7500 0.7500 Rb
0.5000 0.5000 0.5000 Eu
0.2708 0.2708 0.7292 F
0.2708 0.7292 0.2708 F
0.2708 0.7292 0.7292 F
0.7292 0.2708 0.2708 F
0.7292 0.2708 0.7292 F
0.7292 0.7292 0.2708 F

---

[12]
Tl2CrGeSb, single point on PBEsol structure, DFT SCAN; calculated density = 7.3 Mg/m³; raw formation energy = 0.682 eV per atom
1.0
5.2874 0.0000 0.0000
0.0000 5.2874 0.0000
0.0000 0.0000 5.3557
Tl Cr Ge Sb
2 1 1 1
direct
0.0000 0.5000 0.0000 Tl
0.5000 0.0000 0.0000 Tl
0.0000 0.0000 0.5000 Cr
0.5000 0.5000 0.0000 Ge
0.5000 0.5000 0.5000 Sb

---

[13]
Ba5V3ClO12, single point on PBEsol structure, DFT SCAN; calculated density = 4.8 Mg/m³; raw formation energy = -3.131 eV per atom
1.0
10.5199 0.0000 0.0000
-5.2600 9.1105 0.0000
0.0000 0.0000 7.7306
Ba V Cl O
10 6 2 24
direct
0.0102 0.2556 0.2500 Ba
0.2454 0.9898 0.2500 Ba
0.2556 0.2454 0.7500 Ba
0.3333 0.6667 0.0010 Ba
0.3333 0.6667 0.4990 Ba
0.6667 0.3333 0.5010 Ba
0.6667 0.3333 0.9990 Ba
0.7444 0.7546 0.2500 Ba
0.7546 0.0102 0.7500 Ba
0.9898 0.7444 0.7500 Ba
0.0353 0.4050 0.7500 V
0.3698 0.9647 0.7500 V
0.4050 0.3698 0.2500 V
0.5950 0.6302 0.7500 V
0.6302 0.0353 0.2500 V
0.9647 0.5950 0.2500 V
0.0000 0.0000 0.0000 Cl
0.0000 0.0000 0.5000 Cl
0.0978 0.3552 0.5733 O
0.0978 0.3552 0.9267 O
0.1240 0.5940 0.7500 O
0.1533 0.6752 0.2500 O
0.2574 0.9022 0.5733 O
0.2574 0.9022 0.9267 O
0.3248 0.4781 0.2500 O
0.3552 0.2574 0.0733 O
0.3552 0.2574 0.4267 O
0.4060 0.5301 0.7500 O
0.4699 0.8760 0.7500 O
0.4781 0.1533 0.7500 O
0.5219 0.8467 0.2500 O
0.5301 0.1240 0.2500 O
0.5940 0.4699 0.2500 O
0.6448 0.7426 0.5733 O
0.6448 0.7426 0.9267 O
0.6752 0.5219 0.7500 O
0.7426 0.0978 0.0733 O
0.7426 0.0978 0.4267 O
0.8467 0.3248 0.7500 O
0.8760 0.4060 0.2500 O
0.9022 0.6448 0.0733 O
0.9022 0.6448 0.4267 O

---

[14]
Fe2OsPt, single point on PBEsol structure, DFT SCAN; calculated density = 16.3 Mg/m³; formation enthalpy at 0 K = -0.078 eV/atom
1.0
2.6388 0.0000 0.0000
0.0000 2.6388 0.0000
0.0000 0.0000 7.2925
Fe Os Pt
2 1 1
direct
0.0000 0.0000 0.2421 Fe
0.0000 0.0000 0.7579 Fe
0.5000 0.5000 0.0000 Os
0.5000 0.5000 0.5000 Pt

---

[15]
SbP2Ir, single point on PBEsol structure, DFT SCAN; calculated density = 9.6 Mg/m³; raw formation energy = 0.732 eV per atom
1.0
6.3815 0.0000 0.0000
0.0000 6.3815 0.0000
0.0000 0.0000 6.3815
Sb P Ir
4 8 4
direct
0.0000 0.0000 0.0000 Sb
0.0000 0.5000 0.5000 Sb
0.5000 0.0000 0.5000 Sb
0.5000 0.5000 0.0000 Sb
0.0000 0.0000 0.5000 P
0.0000 0.5000 0.0000 P
0.2500 0.2500 0.7500 P
0.2500 0.7500 0.2500 P
0.5000 0.0000 0.0000 P
0.5000 0.5000 0.5000 P
0.7500 0.2500 0.2500 P
0.7500 0.7500 0.7500 P
0.2500 0.2500 0.2500 Ir
0.2500 0.7500 0.7500 Ir
0.7500 0.2500 0.7500 Ir
0.7500 0.7500 0.2500 Ir

---

[16]
CdTcP2, single point on PBEsol structure, DFT SCAN; calculated density = 6.9 Mg/m³; formation enthalpy at 0 K = -0.037 eV/atom
1.0
2.9797 0.0000 0.0000
0.0000 3.2841 0.0000
0.0000 0.0000 13.4298
Cd Tc P
2 2 4
direct
0.0000 0.0000 0.0000 Cd
0.5000 0.5000 0.5000 Cd
0.0000 0.5000 0.2661 Tc
0.5000 0.0000 0.7661 Tc
0.0000 0.0000 0.6297 P
0.0000 0.5000 0.8397 P
0.5000 0.0000 0.3397 P
0.5000 0.5000 0.1297 P

---

[17]
ScMoOs2, single point on PBEsol structure, DFT SCAN; calculated density = 14.2 Mg/m³; formation enthalpy at 0 K = -0.092 eV/atom
1.0
3.0935 0.0000 0.0000
0.0000 4.3922 0.0000
0.0000 0.0000 8.9841
Sc Mo Os
2 2 4
direct
0.0000 0.0000 0.0000 Sc
0.5000 0.5000 0.5000 Sc
0.0000 0.5000 0.7534 Mo
0.5000 0.0000 0.2534 Mo
0.0000 0.0000 0.4933 Os
0.0000 0.5000 0.2489 Os
0.5000 0.0000 0.7489 Os
0.5000 0.5000 0.9933 Os

---

[18]
MnIn2Te, single point on PBEsol structure, DFT SCAN; calculated density = 8.2 Mg/m³; raw formation energy = 0.247 eV per atom
1.0
3.1198 0.0000 0.0000
0.0000 3.1198 0.0000
0.0000 0.0000 8.5858
Mn In Te
1 2 1
direct
0.0000 0.0000 0.0000 Mn
0.0000 0.0000 0.5001 In
0.5000 0.5000 0.7893 In
0.5000 0.5000 0.1581 Te

---

[19]
AgMo2Ru, single point on PBEsol structure, DFT SCAN; calculated density = 10.9 Mg/m³; formation enthalpy at 0 K = 0.329 eV/atom
1.0
2.7431 0.0000 0.0000
-1.3716 2.3756 0.0000
0.0000 0.0000 27.9907
Ag Mo Ru
3 6 3
direct
0.0000 0.0000 0.0000 Ag
0.3333 0.6667 0.6667 Ag
0.6667 0.3333 0.3333 Ag
0.0000 0.0000 0.5068 Mo
0.0000 0.0000 0.7539 Mo
0.3333 0.6667 0.1734 Mo
0.3333 0.6667 0.4206 Mo
0.6667 0.3333 0.0872 Mo
0.6667 0.3333 0.8401 Mo
0.0000 0.0000 0.2472 Ru
0.3333 0.6667 0.9138 Ru
0.6667 0.3333 0.5805 Ru

---

[20]
Y2TlPt, single point on PBEsol structure, DFT SCAN; calculated density = 10.0 Mg/m³; formation enthalpy at 0 K = -0.984 eV/atom
1.0
4.5314 0.0000 0.0000
0.0000 3.7662 0.0000
0.0000 0.0000 11.1855
Y Tl Pt
4 2 2
direct
0.0000 0.0000 0.0000 Y
0.0000 0.5000 0.5000 Y
0.5000 0.0000 0.2917 Y
0.5000 0.5000 0.7917 Y
0.5000 0.0000 0.5702 Tl
0.5000 0.5000 0.0702 Tl
0.0000 0.0000 0.7403 Pt
0.0000 0.5000 0.2403 Pt

---

[21]
TeAsPN2, single point on PBEsol structure, DFT SCAN; calculated density = 5.3 Mg/m³; raw formation energy = 1.165 eV per atom
1.0
3.5900 0.0000 0.0000
0.0000 3.5900 0.0000
0.0000 0.0000 6.3375
Te As P N
1 1 1 2
direct
0.0000 0.0000 0.0000 Te
0.5000 0.5000 0.0000 As
0.0000 0.0000 0.5000 P
0.0000 0.5000 0.5000 N
0.5000 0.0000 0.5000 N

---

[22]
LiYPt2, single point on PBEsol structure, DFT SCAN; calculated density = 11.4 Mg/m³; formation enthalpy at 0 K = -0.757 eV/atom
1.0
3.5494 0.0000 0.0000
0.0000 3.5494 0.0000
0.0000 0.0000 5.6110
Li Y Pt
1 1 2
direct
0.0000 0.0000 0.0000 Li
0.5000 0.5000 0.6719 Y
0.0000 0.0000 0.4486 Pt
0.5000 0.5000 0.1605 Pt

---

[23]
SiOsPb2, single point on PBEsol structure, DFT SCAN; calculated density = 12.7 Mg/m³; raw formation energy = 1.095 eV per atom
1.0
4.6381 0.0000 0.0000
0.0000 3.3463 0.0000
-1.9316 0.0000 5.3155
Si Os Pb
1 1 2
direct
0.0000 0.0000 0.0000 Si
0.5000 0.5000 0.5000 Os
0.0000 0.0000 0.5000 Pb
0.5000 0.5000 0.0000 Pb

---

[24]
Tl2FeSe, single point on PBEsol structure, DFT SCAN; calculated density = 10.3 Mg/m³; raw formation energy = 0.358 eV per atom
1.0
4.8157 0.0000 0.0000
0.0000 3.6746 0.0000
-1.4672 0.0000 4.9755
Tl Fe Se
2 1 1
direct
0.0000 0.0000 0.0000 Tl
0.0000 0.5000 0.5000 Tl
0.5000 0.0000 0.5000 Fe
0.5000 0.5000 0.0000 Se